## Ho2Cd3Ag (GGA-PBE)

Data for Ho2Cd3Ag after structural relaxation.

abc: 3.3612 4.9315 8.5407
angles: 90.00 90.00 90.00
With the nearest neighbours (Å) after each atom.
Space group Pmm2 (No. 25)
Asymmetric unit:
Ho (0.0000, 0.0000, 0.0000) [1 per cell]  2 Ag 3.23, 10 Cd 3.27-3.40, 2 Ho 3.36
Ho (0.0000, 0.5000, 0.4804) [1 per cell]  8 Cd 3.23-3.36, 4 Ag 3.27, 2 Ho 3.36
Cd (0.5000, 0.0000, 0.6546) [1 per cell]  1 Ag 2.83, 2 Cd 2.85
Cd (0.5000, 0.5000, 0.1575) [1 per cell]  2 Ag 2.84, 1 Cd 2.87
Cd (0.5000, 0.5000, 0.8216) [1 per cell]  3 Cd 2.85-2.87
Ag (0.5000, 0.0000, 0.3236) [1 per cell]  3 Cd 2.83-2.84

**Formation energy from the elements**: -0.295 eV/atom
**Relative energy among the computed polymorphs**: 0.000 eV/atom
**M_tot**: 0.0000 μB per atom

---

## GaBi3Pd (GGA-PBE)

Data for GaBi3Pd after structural relaxation.

abc: 5.3976 5.3976 5.3976
angles: 90.00 90.00 90.00
With the nearest neighbours (Å) after each atom.
Space group Pm-3m (No. 221)
Asymmetric unit:
Ga (0.0000, 0.0000, 0.0000) [1 per cell]  6 Bi 2.70
Bi (0.0000, 0.0000, 0.5000) [3 per cell]  2 Ga 2.70
Pd (0.5000, 0.5000, 0.5000) [1 per cell]  12 Bi 3.82

**Formation energy from the elements**: 0.725 eV/atom
**Relative energy among the computed polymorphs**: 0.398 eV/atom
**M_tot**: 0.0000 μB per atom

---

## ScUAl (GGA-PBE)

Data for ScUAl after structural relaxation.

abc: 2.8742 18.4034 4.4752
angles: 90.00 90.00 90.00
With the nearest neighbours (Å) after each atom.
Space group Cmcm (No. 63)
Asymmetric unit:
Sc (0.0000, 0.0483, 0.2500) [4 per cell]  4 Sc 2.86-2.87, 4 Al 2.93, 1 U 2.99
U (0.0000, 0.2109, 0.2500) [4 per cell]  6 U 2.87-3.02, 1 Sc 2.99, 5 Al 3.19-3.20
Al (0.0000, 0.3849, 0.2500) [4 per cell]  2 Al 2.87, 4 Sc 2.93, 5 U 3.19-3.20

**Formation energy from the elements**: -0.073 eV/atom
**M_tot**: 0.3863 μB per atom

---

## K2GaTe2 (GGA-PBE)

Data for K2GaTe2 after structural relaxation.

abc: 7.5162 14.3936 7.0854
angles: 90.00 90.00 90.00
With the nearest neighbours (Å) after each atom.
Space group Ibam (No. 72)
Asymmetric unit:
K (0.1817, 0.1399, 0.0000) [8 per cell]  6 Te 3.56-3.94, 2 Ga 3.59
Ga (0.0000, 0.5000, 0.2500) [4 per cell]  4 Te 2.85
Te (0.2040, 0.3872, 0.0000) [8 per cell]  2 Ga 2.85

**Relative energy among the computed polymorphs**: 0.000 eV/atom
**ΔE_f (raw)**: -0.740 eV per atom
**M_tot**: 0.0000 μB per atom

---

## CuPd5Au2 (GGA-PBE)

Data for CuPd5Au2 after structural relaxation.

abc: 7.9577 7.8881 5.6422
angles: 90.00 134.71 90.00
With the nearest neighbours (Å) after each atom.
Space group C2/m (No. 12)
Asymmetric unit:
Cu (0.0000, 0.0000, 0.0000) [2 per cell]  4 Au 2.80, 8 Pd 2.81-2.83
Pd (0.0000, 0.0000, 0.5000) [2 per cell]  6 Pd 2.80-2.83, 4 Au 2.81, 2 Cu 2.82
Pd (0.0000, 0.5000, 0.0000) [2 per cell]  4 Au 2.80, 8 Pd 2.81-2.83
Pd (0.0000, 0.5000, 0.5000) [2 per cell]  6 Pd 2.80-2.82, 4 Au 2.81, 2 Cu 2.83
Pd (0.2500, 0.2500, 0.5000) [4 per cell]  6 Pd 2.80-2.81, 2 Cu 2.81, 4 Au 2.82-2.83
Au (0.2500, 0.2500, 0.0000) [4 per cell]  2 Cu 2.80, 10 Pd 2.80-2.83

**Formation energy from the elements**: -0.065 eV/atom
**Relative energy among the computed polymorphs**: 0.000 eV/atom
**M_tot**: 0.0000 μB per atom

---

## PuSnGeAu (GGA-PBE)

Data for PuSnGeAu after structural relaxation.

abc: 7.1012 7.1012 7.1012
angles: 90.00 90.00 90.00
With the nearest neighbours (Å) after each atom.
Space group F-43m (No. 216)
Asymmetric unit:
Pu (0.0000, 0.0000, 0.0000) [4 per cell]  4 Au 3.07, 4 Ge 3.07
Sn (0.0000, 0.0000, 0.5000) [4 per cell]  4 Ge 3.07, 4 Au 3.07
Ge (0.2500, 0.2500, 0.2500) [4 per cell]  4 Pu 3.07, 4 Sn 3.07
Au (0.2500, 0.2500, 0.7500) [4 per cell]  4 Sn 3.07, 4 Pu 3.07

**Formation energy from the elements**: -0.273 eV/atom
**Relative energy among the computed polymorphs**: 0.081 eV/atom
**M_tot**: 1.3916 μB per atom

---

## TaV2Ir5 (GGA-PBE)

Data for TaV2Ir5 after structural relaxation.

abc: 5.5058 11.0149 3.8765
angles: 90.00 90.00 90.00
With the nearest neighbours (Å) after each atom.
Space group Pbam (No. 55)
Asymmetric unit:
Ta (0.0000, 0.0000, 0.0000) [2 per cell]  8 Ir 2.74-2.76, 4 V 2.89
V (0.2201, 0.3649, 0.5000) [4 per cell]  10 Ir 2.62-2.89, 2 Ta 2.89
Ir (0.0000, 0.5000, 0.0000) [2 per cell]  4 V 2.73, 6 Ir 2.75-2.77, 2 Ta 2.75
Ir (0.0114, 0.7497, 0.0000) [4 per cell]  4 V 2.64-2.75, 7 Ir 2.73-2.76, 1 Ta 2.76
Ir (0.2440, 0.1260, 0.5000) [4 per cell]  4 V 2.62-2.89, 6 Ir 2.73-2.77, 2 Ta 2.74

**Formation energy from the elements**: -0.483 eV/atom
**M_tot**: 0.0000 μB per atom

---

## Ce4PbI5 (GGA-PBE)

Data for Ce4PbI5 after structural relaxation.

abc: 19.4247 4.4049 9.3479
angles: 90.00 100.32 90.00
With the nearest neighbours (Å) after each atom.
Space group C2/m (No. 12)
Asymmetric unit:
Ce (0.0021, 0.0000, 0.2394) [4 per cell]  2 Pb 3.13, 4 I 3.20-3.29
Ce (0.1667, 0.5000, 0.0632) [4 per cell]  1 Pb 3.19, 5 I 3.24-3.26
Pb (0.0000, 0.5000, 0.0000) [2 per cell]  6 Ce 3.13-3.19
I (0.0000, 0.5000, 0.5000) [2 per cell]  4 Ce 3.29
I (0.1672, 0.0000, 0.8058) [4 per cell]  4 Ce 3.24-3.26
I (0.1693, 0.0000, 0.3215) [4 per cell]  3 Ce 3.20-3.26

**ΔE_f (raw)**: -0.998 eV per atom
**M_tot**: 0.5571 μB per atom

---

## TaMo (GGA-PBE)

Data for TaMo after structural relaxation.

abc: 2.8093 2.8093 10.4615
angles: 90.00 90.00 120.00
With the nearest neighbours (Å) after each atom.
Space group P6_3mc (No. 186)
Asymmetric unit:
Ta (0.3333, 0.6667, 0.0000) [2 per cell]  4 Mo 2.72-2.99, 6 Ta 2.81
Mo (0.3333, 0.6667, 0.7398) [2 per cell]  4 Ta 2.72-2.99, 6 Mo 2.81

**Formation energy from the elements**: 0.635 eV/atom
**M_tot**: 0.0000 μB per atom

---

## LiCa2Pt (GGA-PBE)

Data for LiCa2Pt after structural relaxation.

abc: 7.1755 7.1755 7.1755
angles: 90.00 90.00 90.00
With the nearest neighbours (Å) after each atom.
Space group Fm-3m (No. 225)
Asymmetric unit:
Li (0.0000, 0.0000, 0.0000) [4 per cell]  8 Ca 3.11
Ca (0.2500, 0.2500, 0.2500) [8 per cell]  4 Li 3.11, 4 Pt 3.11
Pt (0.0000, 0.0000, 0.5000) [4 per cell]  8 Ca 3.11

**Formation energy from the elements**: -0.532 eV/atom
**M_tot**: 0.0000 μB per atom

---

## TlIn6Se8 (GGA-PBE)

Data for TlIn6Se8 after structural relaxation.

abc: 11.5764 11.5764 11.6744
angles: 90.00 90.00 120.00
With the nearest neighbours (Å) after each atom.
Space group R-3 (No. 148, hexagonal axes)
Asymmetric unit:
Tl (0.0000, 0.0000, 0.0000) [3 per cell]  8 Se 3.40-3.80
In (0.0517, 0.7982, 0.6320) [18 per cell]  4 Se 2.72-2.76
Se (0.0000, 0.0000, 0.3258) [6 per cell]  3 In 2.73
Se (0.0344, 0.7561, 0.1308) [18 per cell]  3 In 2.72-2.76

**Relative energy among the computed polymorphs**: 0.000 eV/atom
**ΔE_f (raw)**: -0.406 eV per atom
**M_tot**: 0.0000 μB per atom

---

## PtSN2F (GGA-PBE)

Data for PtSN2F after structural relaxation.

abc: 3.9157 3.9157 4.2121
angles: 90.00 90.00 90.00
With the nearest neighbours (Å) after each atom.
Space group P4/mmm (No. 123)
Asymmetric unit:
Pt (0.0000, 0.0000, 0.0000) [1 per cell]  4 N 1.96, 2 F 2.11
S (0.5000, 0.5000, 0.5000) [1 per cell]  4 F 2.77, 8 N 2.88
N (0.0000, 0.5000, 0.0000) [2 per cell]  2 Pt 1.96
F (0.0000, 0.0000, 0.5000) [1 per cell]  2 Pt 2.11

**Relative energy among the computed polymorphs**: 0.039 eV/atom
**ΔE_f (raw)**: 1.319 eV per atom
**M_tot**: 0.0000 μB per atom

---

## KFe2P (GGA-PBE)

Data for KFe2P after structural relaxation.

abc: 2.7709 5.8646 9.9330
angles: 90.00 90.00 90.00
With the nearest neighbours (Å) after each atom.
Space group Imm2 (No. 44)
Asymmetric unit:
K (0.0000, 0.0000, 0.0000) [2 per cell]  2 K 2.77
Fe (0.0000, 0.0000, 0.4714) [2 per cell]  2 P 2.25, 2 Fe 2.36
Fe (0.0000, 0.5000, 0.1643) [2 per cell]  2 Fe 2.36
P (0.0000, 0.5000, 0.7926) [2 per cell]  2 Fe 2.25

**Formation energy from the elements**: 0.602 eV/atom
**M_tot**: 1.3121 μB per atom

---

## Pu2ScAs3 (GGA-PBE)

Data for Pu2ScAs3 after structural relaxation.

abc: 4.0521 5.7480 12.1242
angles: 90.00 90.00 90.00
With the nearest neighbours (Å) after each atom.
Space group Immm (No. 71)
Asymmetric unit:
Pu (0.0000, 0.0000, 0.1679) [4 per cell]  6 As 2.87-2.91
Sc (0.0000, 0.0000, 0.5000) [2 per cell]  6 As 2.80-2.87
As (0.0000, 0.5000, 0.1599) [4 per cell]  2 Sc 2.80, 4 Pu 2.88-2.91
As (0.0000, 0.5000, 0.5000) [2 per cell]  4 Pu 2.87, 2 Sc 2.87

**Formation energy from the elements**: -1.119 eV/atom
**Relative energy among the computed polymorphs**: 0.000 eV/atom
**M_tot**: 1.6553 μB per atom

---

## Si2Hg3 (GGA-PBE)

Data for Si2Hg3 after structural relaxation.

abc: 8.9689 17.4597 5.6978
angles: 90.00 90.00 90.00
With the nearest neighbours (Å) after each atom.
Space group Fdd2 (No. 43)
Asymmetric unit:
Si (0.0570, 0.3607, 0.0000) [16 per cell]  4 Hg 2.70-2.88, 2 Si 2.70
Hg (0.0000, 0.0000, 0.3157) [8 per cell]  2 Si 2.70
Hg (0.0873, 0.2003, 0.1072) [16 per cell]  3 Si 2.74-2.88

**Relative energy among the computed polymorphs**: 0.000 eV/atom
**ΔE_f (raw)**: 0.386 eV per atom
**M_tot**: 0.0000 μB per atom

---

## LiTl2Bi2 (GGA-PBE)

Data for LiTl2Bi2 after structural relaxation.

abc: 3.4132 6.5086 6.6870
angles: 90.31 94.71 94.51
With the nearest neighbours (Å) after each atom.
Space group P-1 (No. 2)
Asymmetric unit:
Li (0.0000, 0.0000, 0.0000) [1 per cell]  4 Bi 2.97-3.04, 2 Tl 2.99
Tl (0.1451, 0.7664, 0.6304) [2 per cell]  1 Li 2.99
Bi (0.4970, 0.6680, 0.1782) [2 per cell]  2 Li 2.97-3.04, 1 Bi 3.23

**Formation energy from the elements**: -0.115 eV/atom
**Relative energy among the computed polymorphs**: 0.000 eV/atom
**M_tot**: 0.0000 μB per atom

---

## Ho6Rh2Au (GGA-PBE)

Data for Ho6Rh2Au after structural relaxation.

abc: 9.3253 9.3590 10.2061
angles: 90.00 90.00 90.00
With the nearest neighbours (Å) after each atom.
Space group Immm (No. 71)
Asymmetric unit:
Ho (0.0000, 0.1924, 0.2422) [8 per cell]  1 Rh 2.80, 1 Au 3.06
Ho (0.1938, 0.5000, 0.1700) [8 per cell]  3 Rh 2.71-2.95
Ho (0.2193, 0.3208, 0.5000) [8 per cell]  3 Rh 2.97-2.99, 1 Au 3.11
Rh (0.0000, 0.3332, 0.0000) [4 per cell]  8 Ho 2.80-2.99, 1 Au 3.12, 1 Rh 3.12
Rh (0.0000, 0.5000, 0.3681) [4 per cell]  1 Rh 2.69, 6 Ho 2.71-2.97
Au (0.0000, 0.0000, 0.0000) [2 per cell]  8 Ho 3.06-3.11, 2 Rh 3.12
Au (0.0000, 0.0000, 0.5000) [2 per cell]  8 Ho 3.19-3.34

**Formation energy from the elements**: -0.639 eV/atom
**M_tot**: 0.0000 μB per atom

---

## Ba2LiH2 (GGA-PBE)

Data for Ba2LiH2 after structural relaxation.

abc: 7.9818 7.9818 3.7663
angles: 90.00 90.00 90.00
With the nearest neighbours (Å) after each atom.
Space group P4/mbm (No. 127)
Asymmetric unit:
Ba (0.1741, 0.3259, 0.0000) [4 per cell]  6 H 2.91-3.09
Li (0.0000, 0.0000, 0.5000) [2 per cell]  4 H 3.13, 8 Ba 3.50
H (0.1296, 0.6296, 0.5000) [4 per cell]  6 Ba 2.91-3.09, 1 H 2.93, 2 Li 3.13

**Relative energy among the computed polymorphs**: 0.183 eV/atom
**M_tot**: 0.0000 μB per atom

---

## Tl2IBr (GGA-PBE)

Data for Tl2IBr after structural relaxation.

abc: 7.7847 7.7847 14.9848
angles: 90.00 90.00 90.00
With the nearest neighbours (Å) after each atom.
Space group I-42d (No. 122)
Asymmetric unit:
Tl (0.2287, 0.2500, 0.1250) [8 per cell]  2 Br 3.24, 2 I 3.43
I (0.0000, 0.0000, 0.5000) [4 per cell]  4 Tl 3.43
Br (0.0000, 0.0000, 0.0000) [4 per cell]  4 Tl 3.24

**Relative energy among the computed polymorphs**: 0.074 eV/atom
**ΔE_f (raw)**: -0.688 eV per atom
**M_tot**: 0.0000 μB per atom

---

## Sr2LiAg4Hg3 (GGA-PBE)

Data for Sr2LiAg4Hg3 after structural relaxation.

abc: 4.3168 4.3168 13.3826
angles: 90.00 90.00 90.00
With the nearest neighbours (Å) after each atom.
Space group P-4m2 (No. 115)
Asymmetric unit:
Sr (0.0000, 0.5000, 0.2487) [2 per cell]  4 Hg 3.37, 4 Ag 3.37
Li (0.5000, 0.5000, 0.0000) [1 per cell]  4 Ag 2.87, 4 Hg 3.05
Ag (0.0000, 0.0000, 0.5000) [1 per cell]  4 Hg 2.90, 4 Ag 3.05
Ag (0.0000, 0.5000, 0.8587) [2 per cell]  3 Hg 2.87, 2 Li 2.87
Ag (0.5000, 0.5000, 0.5000) [1 per cell]  4 Hg 2.90, 4 Ag 3.05
Hg (0.0000, 0.0000, 0.0000) [1 per cell]  4 Ag 2.87, 4 Li 3.05
Hg (0.0000, 0.5000, 0.6446) [2 per cell]  5 Ag 2.87-2.90

**Formation energy from the elements**: -0.261 eV/atom
**M_tot**: 0.0000 μB per atom

---

## Li2In8Ir (GGA-PBE)

Data for Li2In8Ir after structural relaxation.

abc: 4.5892 4.5892 12.0818
angles: 90.00 90.00 90.00
With the nearest neighbours (Å) after each atom.
Space group P4/mmm (No. 123)
Asymmetric unit:
Li (0.0000, 0.0000, 0.1984) [2 per cell]  12 In 3.10-3.32
In (0.0000, 0.5000, 0.0000) [2 per cell]  8 In 3.23-3.25, 4 Li 3.32
In (0.0000, 0.5000, 0.3715) [4 per cell]  2 Ir 2.77
In (0.5000, 0.5000, 0.1884) [2 per cell]  8 In 3.19-3.23, 4 Li 3.25
Ir (0.0000, 0.0000, 0.5000) [1 per cell]  8 In 2.77

**Formation energy from the elements**: -0.143 eV/atom
**M_tot**: 0.0000 μB per atom

---

## KNa3Cu4I12 (GGA-PBE)

Data for KNa3Cu4I12 after structural relaxation.

abc: 15.1307 15.1307 13.5609
angles: 90.00 90.00 120.00
With the nearest neighbours (Å) after each atom.
Space group R32 (No. 155, hexagonal axes)
Asymmetric unit:
K (0.0000, 0.0000, 0.0000) [3 per cell]  6 I 3.61
Na (0.0000, 0.5428, 0.0000) [9 per cell]  6 I 3.20-3.36
Cu (0.0000, 0.0000, 0.5000) [3 per cell]  3 I 2.50
Cu (0.0000, 0.4357, 0.5000) [9 per cell]  3 I 2.46-2.55
I (0.0000, 0.6045, 0.5000) [9 per cell]  1 Cu 2.55
I (0.0000, 0.8349, 0.5000) [9 per cell]  1 Cu 2.50
I (0.0335, 0.1875, 0.1830) [18 per cell]  1 Cu 2.46

**ΔE_f (raw)**: -0.510 eV per atom
**M_tot**: 0.0000 μB per atom

---

## ZrTlP2 (GGA-PBE)

Data for ZrTlP2 after structural relaxation.

abc: 6.2185 6.2185 11.8426
angles: 90.00 90.00 90.00
With the nearest neighbours (Å) after each atom.
Space group I-42d (No. 122)
Asymmetric unit:
Zr (0.0000, 0.0000, 0.0000) [4 per cell]  4 P 2.54
Tl (0.0000, 0.0000, 0.5000) [4 per cell]  4 P 2.78
P (0.2170, 0.2500, 0.1250) [8 per cell]  2 Zr 2.54, 2 Tl 2.78

**Formation energy from the elements**: -0.191 eV/atom
**Relative energy among the computed polymorphs**: 0.320 eV/atom
**M_tot**: 0.0000 μB per atom